Version A
Entry from the Alexandria database: Cd3AgPd6 after structural relaxation (PBE).

Crystal system: monoclinic

abc: 5.3975 5.3975 8.2933
angles: 116.47 116.47 59.95
Fractional coordinates of all 10 atoms:
Cd 0.0000 0.0000 0.0000
Cd 0.0763 0.0763 0.7114
Cd 0.9237 0.9237 0.2886
Ag 0.5000 0.5000 0.5000
Pd 0.0700 0.5555 0.6838
Pd 0.3747 0.3747 0.0703
Pd 0.4445 0.9300 0.3162
Pd 0.5555 0.0700 0.6838
Pd 0.6253 0.6253 0.9297
Pd 0.9300 0.4445 0.3162

Version B
Entry from the Alexandria database: Cd3AgPd6 after structural relaxation (PBE).

Crystal system: monoclinic

abc: 7.6421 4.6871 10.1184
angles: 90.00 111.26 90.00
Fractional coordinates of all 20 atoms:
Cd 0.0567 0.2500 0.3803
Cd 0.1437 0.7500 0.2225
Cd 0.2741 0.2500 0.9804
Cd 0.7259 0.7500 0.0196
Cd 0.8563 0.2500 0.7775
Cd 0.9433 0.7500 0.6197
Ag 0.4605 0.2500 0.5743
Ag 0.5395 0.7500 0.4257
Pd 0.0379 0.7500 0.9239
Pd 0.1649 0.2500 0.6802
Pd 0.2398 0.7500 0.5254
Pd 0.3368 0.7500 0.8232
Pd 0.3638 0.2500 0.2757
Pd 0.4407 0.7500 0.1285
Pd 0.5593 0.2500 0.8715
Pd 0.6362 0.7500 0.7243
Pd 0.6632 0.2500 0.1768
Pd 0.7602 0.2500 0.4746
Pd 0.8351 0.7500 0.3198
Pd 0.9621 0.2500 0.0761

version B is favored, and the nearest alternative lies 0.212 eV/atom above it.

Version A
Entry from the Alexandria database: CdAg4Pd3 after structural relaxation (PBE).

Crystal system: monoclinic

abc: 16.8826 4.0362 4.1263
angles: 90.00 104.09 90.00
Fractional coordinates of all 16 atoms:
Cd 0.0000 0.0000 0.0000
Cd 0.5000 0.5000 0.0000
Ag 0.1254 0.0000 0.6254
Ag 0.2496 0.0000 0.2497
Ag 0.2504 0.5000 0.7503
Ag 0.3746 0.5000 0.3746
Ag 0.6254 0.5000 0.6254
Ag 0.7504 0.0000 0.7503
Ag 0.7496 0.5000 0.2497
Ag 0.8746 0.0000 0.3746
Pd 0.0000 0.5000 0.5000
Pd 0.1243 0.5000 0.1241
Pd 0.3757 0.0000 0.8759
Pd 0.5000 0.0000 0.5000
Pd 0.6243 0.0000 0.1241
Pd 0.8757 0.5000 0.8759

Version B
Entry from the Alexandria database: CdAg4Pd3 after structural relaxation (PBE).

Crystal system: monoclinic

abc: 19.4492 4.7356 3.0223
angles: 90.00 98.79 90.00
Fractional coordinates of all 16 atoms:
Cd 0.0000 0.0000 0.0000
Cd 0.5000 0.5000 0.0000
Ag 0.1239 0.5000 0.1250
Ag 0.1321 0.0000 0.6333
Ag 0.3679 0.5000 0.3667
Ag 0.3761 0.0000 0.8750
Ag 0.6239 0.0000 0.1250
Ag 0.6321 0.5000 0.6333
Ag 0.8679 0.0000 0.3667
Ag 0.8761 0.5000 0.8750
Pd 0.0000 0.5000 0.5000
Pd 0.2458 0.5000 0.7459
Pd 0.2542 0.0000 0.2541
Pd 0.5000 0.0000 0.5000
Pd 0.7458 0.0000 0.7459
Pd 0.7542 0.5000 0.2541

version A is favored, and the nearest alternative lies 0.069 eV/atom above it.

Version A
Entry from the Alexandria database: Cd2AgPd6 after structural relaxation (PBE).

Crystal system: monoclinic

abc: 4.8749 4.8749 8.4672
angles: 104.46 104.46 50.17
Fractional coordinates of all 9 atoms:
Cd 0.1742 0.1742 0.2271
Cd 0.8258 0.8258 0.7729
Ag 0.5000 0.5000 0.0000
Pd 0.1621 0.1621 0.8868
Pd 0.1631 0.1631 0.5552
Pd 0.4943 0.4943 0.6615
Pd 0.5057 0.5057 0.3385
Pd 0.8369 0.8369 0.4448
Pd 0.8379 0.8379 0.1132

Version B
Entry from the Alexandria database: Cd2AgPd6 after structural relaxation (PBE).

Crystal system: monoclinic

abc: 8.1797 8.1797 2.8169
angles: 99.72 99.72 56.89
Fractional coordinates of all 9 atoms:
Cd 0.1673 0.1673 0.1687
Cd 0.8327 0.8327 0.8313
Ag 0.5000 0.5000 0.5000
Pd 0.1451 0.5224 0.3333
Pd 0.1865 0.8135 0.0000
Pd 0.4776 0.8549 0.6667
Pd 0.5224 0.1451 0.3333
Pd 0.8135 0.1865 0.0000
Pd 0.8549 0.4776 0.6667

version A is favored, and the nearest alternative lies 0.146 eV/atom above it.

Version A
Entry from the Alexandria database: Cd8Ag2Pd3 after structural relaxation (PBE).

Crystal system: monoclinic

abc: 7.3219 7.3219 5.6417
angles: 96.62 96.62 64.53
Fractional coordinates of all 13 atoms:
Cd 0.0766 0.6981 0.0788
Cd 0.0995 0.0995 0.3967
Cd 0.3019 0.9234 0.9212
Cd 0.3180 0.3180 0.6781
Cd 0.6820 0.6820 0.3219
Cd 0.6981 0.0766 0.0788
Cd 0.9005 0.9005 0.6033
Cd 0.9234 0.3019 0.9212
Ag 0.2951 0.2951 0.1874
Ag 0.7049 0.7049 0.8126
Pd 0.3248 0.6752 0.5000
Pd 0.5000 0.5000 0.0000
Pd 0.6752 0.3248 0.5000

Version B
Entry from the Alexandria database: Cd8Ag2Pd3 after structural relaxation (PBE).

Crystal system: monoclinic

abc: 7.4208 7.4208 4.9734
angles: 103.02 103.02 82.15
Fractional coordinates of all 13 atoms:
Cd 0.0707 0.0707 0.3005
Cd 0.1169 0.5957 0.8887
Cd 0.3582 0.3582 0.4331
Cd 0.4043 0.8831 0.1113
Cd 0.5957 0.1169 0.8887
Cd 0.6418 0.6418 0.5669
Cd 0.8831 0.4043 0.1113
Cd 0.9293 0.9293 0.6995
Ag 0.2070 0.2070 0.8695
Ag 0.7930 0.7930 0.1305
Pd 0.2525 0.7475 0.5000
Pd 0.5000 0.5000 0.0000
Pd 0.7475 0.2525 0.5000

version B is favored, and the nearest alternative lies 0.030 eV/atom above it.

Version A
Entry from the Alexandria database: Cd2Ag6Pd after structural relaxation (PBE).

Crystal system: monoclinic

abc: 7.2964 7.2964 7.6207
angles: 114.92 114.92 85.93
Fractional coordinates of all 18 atoms:
Cd 0.0685 0.2921 0.4269
Cd 0.2921 0.0685 0.9269
Cd 0.7079 0.9315 0.0731
Cd 0.9315 0.7079 0.5731
Ag 0.0842 0.8252 0.0316
Ag 0.1314 0.4189 0.8650
Ag 0.1748 0.9158 0.4684
Ag 0.2953 0.4974 0.3118
Ag 0.4189 0.1314 0.3650
Ag 0.4974 0.2953 0.8118
Ag 0.5026 0.7047 0.1882
Ag 0.5811 0.8686 0.6350
Ag 0.7047 0.5026 0.6882
Ag 0.8252 0.0842 0.5316
Ag 0.8686 0.5811 0.1350
Ag 0.9158 0.1748 0.9684
Pd 0.3445 0.6555 0.7500
Pd 0.6555 0.3445 0.2500

Version B
Entry from the Alexandria database: Cd2Ag6Pd after structural relaxation (PBE).

Crystal system: monoclinic

abc: 4.6287 4.6287 8.6255
angles: 95.02 95.02 63.54
Fractional coordinates of all 9 atoms:
Cd 0.1654 0.1654 0.4354
Cd 0.8346 0.8346 0.5646
Ag 0.1658 0.1658 0.1041
Ag 0.1700 0.1700 0.7805
Ag 0.4983 0.4983 0.3272
Ag 0.5017 0.5017 0.6728
Ag 0.8300 0.8300 0.2195
Ag 0.8342 0.8342 0.8959
Pd 0.5000 0.5000 0.0000

version A is favored, and the nearest alternative lies 0.028 eV/atom above it.

Version A
Entry from the Alexandria database: Cd2AgPd3 after structural relaxation (PBE).

Crystal system: tetragonal

abc: 3.0920 3.0920 10.7792
angles: 90.00 90.00 90.00
Fractional coordinates of all 6 atoms:
Cd 0.0000 0.0000 0.1699
Cd 0.0000 0.0000 0.8301
Ag 0.0000 0.0000 0.5000
Pd 0.5000 0.5000 0.0000
Pd 0.5000 0.5000 0.3340
Pd 0.5000 0.5000 0.6660

Version B
Entry from the Alexandria database: Cd2AgPd3 after structural relaxation (PBE).

Crystal system: orthorhombic

abc: 4.3287 12.9756 3.6671
angles: 90.00 90.00 90.00
Fractional coordinates of all 12 atoms:
Cd 0.0000 0.1630 0.0000
Cd 0.0000 0.8370 0.0000
Cd 0.5000 0.3370 0.0000
Cd 0.5000 0.6630 0.0000
Ag 0.0000 0.5000 0.0000
Ag 0.5000 0.0000 0.0000
Pd 0.0000 0.0000 0.5000
Pd 0.0000 0.3314 0.5000
Pd 0.0000 0.6686 0.5000
Pd 0.5000 0.1686 0.5000
Pd 0.5000 0.5000 0.5000
Pd 0.5000 0.8314 0.5000

version B is favored, and the nearest alternative lies 0.017 eV/atom above it.

Version A
Entry from the Alexandria database: CdAg4Pd2 after structural relaxation (PBE).

Crystal system: monoclinic

abc: 7.1823 5.2509 7.5961
angles: 90.00 118.18 90.00
Fractional coordinates of all 14 atoms:
Cd 0.2421 0.2500 0.2122
Cd 0.7579 0.7500 0.7878
Ag 0.0196 0.2500 0.4269
Ag 0.0364 0.2500 0.7985
Ag 0.3882 0.0006 0.7720
Ag 0.3882 0.4994 0.7720
Ag 0.6118 0.5006 0.2280
Ag 0.6118 0.9994 0.2280
Ag 0.9636 0.7500 0.2015
Ag 0.9804 0.7500 0.5731
Pd 0.2068 0.7500 0.9973
Pd 0.3997 0.7500 0.4231
Pd 0.6003 0.2500 0.5769
Pd 0.7932 0.2500 0.0027

Version B
Entry from the Alexandria database: CdAg4Pd2 after structural relaxation (PBE).

Crystal system: monoclinic

abc: 4.9715 9.6192 5.4224
angles: 90.00 94.88 90.00
Fractional coordinates of all 14 atoms:
Cd 0.0000 0.0000 0.0000
Cd 0.0000 0.5000 0.5000
Ag 0.0343 0.2325 0.6911
Ag 0.0343 0.2675 0.1911
Ag 0.4741 0.6719 0.5540
Ag 0.4741 0.8281 0.0540
Ag 0.5259 0.1719 0.9460
Ag 0.5259 0.3281 0.4460
Ag 0.9657 0.7325 0.8089
Ag 0.9657 0.7675 0.3089
Pd 0.2696 0.5382 0.0881
Pd 0.2696 0.9618 0.5881
Pd 0.7304 0.0382 0.4119
Pd 0.7304 0.4618 0.9119

version A is favored, and the nearest alternative lies 0.072 eV/atom above it.

Version A
Entry from the Alexandria database: Pm2CdAg4 after structural relaxation (PBE).

Crystal system: tetragonal

abc: 5.0864 5.0864 15.3706
angles: 90.00 90.00 90.00
Fractional coordinates of all 14 atoms:
Pm 0.0000 0.0000 0.1269
Pm 0.0000 0.0000 0.8731
Pm 0.5000 0.5000 0.3731
Pm 0.5000 0.5000 0.6269
Cd 0.0000 0.0000 0.5000
Cd 0.5000 0.5000 0.0000
Ag 0.0000 0.0000 0.3210
Ag 0.0000 0.0000 0.6790
Ag 0.0000 0.5000 0.0000
Ag 0.0000 0.5000 0.5000
Ag 0.5000 0.0000 0.0000
Ag 0.5000 0.0000 0.5000
Ag 0.5000 0.5000 0.1790
Ag 0.5000 0.5000 0.8210

Version B
Entry from the Alexandria database: Pm2CdAg4 after structural relaxation (PBE).

Crystal system: trigonal

abc: 7.7754 7.7754 7.7754
angles: 38.18 38.18 38.18
Fractional coordinates of all 7 atoms:
Pm 0.2258 0.2258 0.2258
Pm 0.7742 0.7742 0.7742
Cd 0.5000 0.5000 0.5000
Ag 0.0656 0.0656 0.0656
Ag 0.3655 0.3655 0.3655
Ag 0.6345 0.6345 0.6345
Ag 0.9344 0.9344 0.9344

version B is favored, and the nearest alternative lies 0.417 eV/atom above it.